Computed, not measured: an optimized crystal structure of Tm6TlP2S3 at the GGA-PBE level of DFT.

a = 3.9109 Å, b = 8.0658 Å, c = 8.8812 Å
α = 102.75°, β = 102.72°, γ = 90.00°
Last column: nearest neighbours and their distance in Å.
Fractional positions:
Tm 0.0021 0.2714 0.0041  3 S 2.69-2.87, 1 P 2.80, 2 Tl 2.93
Tm 0.9979 0.7286 0.9959  3 S 2.69-2.87, 1 P 2.80, 2 Tl 2.93
Tm 0.6728 0.0964 0.3456  3 S 2.69-2.89, 2 P 2.77, 1 Tl 2.92
Tm 0.3272 0.9036 0.6544  3 S 2.69-2.89, 2 P 2.77, 1 Tl 2.92
Tm 0.6705 0.5775 0.3410  3 P 2.73-2.75, 3 S 2.84-2.88
Tm 0.3295 0.4225 0.6590  3 P 2.73-2.75, 3 S 2.84-2.88
S 0.1677 0.8311 0.3353  6 Tm 2.69-2.89
S 0.8323 0.1689 0.6647  6 Tm 2.69-2.89
S 0.5000 0.5000 0.0000  6 Tm 2.69-2.88
P 0.1676 0.3364 0.3353  6 Tm 2.73-2.80
P 0.8324 0.6636 0.6647  6 Tm 2.73-2.80
Tl 0.5000 0.0000 0.0000  6 Tm 2.92-2.93

Computed properties:
Total energy (eV per atom): -5.89
V (Å³ per cell): 266.20
Space group: C2/m, No. 12

=====

Computed, not measured: an optimized crystal structure of Tm8Tl4PS3 at the GGA-PBE level of DFT.

a = 7.5774 Å, b = 8.9714 Å, c = 7.5793 Å
α = 114.95°, β = 119.99°, γ = 90.00°
Last column: nearest neighbours and their distance in Å.
Fractional positions:
Tl 0.0000 0.0000 0.0000  6 Tm 3.20
Tl 0.5000 0.0000 0.0000  6 Tm 3.21-3.22
Tl 0.0000 0.0000 0.5000  6 Tm 3.20
Tl 0.5000 0.0000 0.5000  6 Tm 3.20
Tm 0.2327 0.7011 0.9680  1 P 2.69, 2 S 2.70
Tm 0.2661 0.2977 0.5321  3 S 2.70
Tm 0.7673 0.2988 0.5346  1 P 2.69, 2 S 2.70
Tm 0.2647 0.2989 0.0320  1 P 2.69, 2 S 2.70
Tm 0.7339 0.7023 0.4679  3 S 2.70
Tm 0.2327 0.7012 0.4654  1 P 2.69, 2 S 2.70
Tm 0.7353 0.7011 0.9680  1 P 2.69, 2 S 2.70
Tm 0.7673 0.2989 0.0320  1 P 2.69, 2 S 2.70
P 0.0000 0.5000 0.0000  6 Tm 2.69
S 0.5000 0.5000 0.5000  6 Tm 2.70
S 0.0000 0.5000 0.5000  6 Tm 2.70
S 0.5000 0.5000 0.0000  6 Tm 2.70

Computed properties:
Total energy (eV per atom): -5.04
V (Å³ per cell): 389.75
Space group: R-3m, No. 166

=====

Computed, not measured: an optimized crystal structure of TmTlP2S8 at the GGA-PBE level of DFT.

a = 6.1439 Å, b = 6.1439 Å, c = 9.7757 Å
α = 71.69°, β = 71.69°, γ = 60.00°
Last column: nearest neighbours and their distance in Å.
Fractional positions:
Tm 0.0000 0.0000 0.0000  6 S 2.73
S 0.0599 0.4211 0.8288  1 P 2.05
S 0.4211 0.6902 0.8288  1 P 2.05
S 0.6902 0.0599 0.8288  1 P 2.05
S 0.1807 0.1807 0.4579  1 P 2.03
S 0.3098 0.9401 0.1712  1 P 2.05
S 0.5789 0.3098 0.1712  1 P 2.05
S 0.9401 0.5789 0.1712  1 P 2.05
S 0.8193 0.8193 0.5421  1 P 2.03
P 0.7448 0.7448 0.7655  4 S 2.03-2.05
P 0.2552 0.2552 0.2345  4 S 2.03-2.05
Tl 0.5000 0.5000 0.5000  12 S 3.57

Computed properties:
Total energy (eV per atom): -4.66
V (Å³ per cell): 297.79
Space group: R-3, No. 148

=====

Computed, not measured: an optimized crystal structure of Tm8Tl3PS3 at the GGA-PBE level of DFT.

a = 7.5855 Å, b = 7.5830 Å, c = 8.8092 Å
α = 115.39°, β = 90.02°, γ = 120.08°
Last column: nearest neighbours and their distance in Å.
Fractional positions:
Tm 0.2643 0.0289 0.2937  1 P 2.70, 2 S 2.70
Tm 0.2656 0.5314 0.2966  3 S 2.68-2.69
Tm 0.2357 0.9712 0.7064  2 S 2.70, 1 P 2.70
Tm 0.7643 0.0288 0.2936  2 S 2.70, 1 P 2.70
Tm 0.7647 0.5299 0.2939  1 P 2.69, 2 S 2.70
Tm 0.7344 0.4686 0.7034  3 S 2.68-2.69
Tm 0.2353 0.4701 0.7061  1 P 2.69, 2 S 2.70
Tm 0.7357 0.9711 0.7063  1 P 2.70, 2 S 2.70
S 0.5000 0.5000 0.5000  6 Tm 2.69-2.70
S 0.0000 0.5000 0.5000  6 Tm 2.69-2.70
S 0.5000 0.0000 0.5000  6 Tm 2.68-2.70
P 0.0000 0.0000 0.5000  6 Tm 2.69-2.70
Tl 0.0000 0.0000 0.0000  6 Tm 3.14-3.15
Tl 0.5000 0.5000 0.0000  6 Tm 3.13-3.15
Tl 0.0000 0.5000 0.0000  6 Tm 3.14-3.15

Computed properties:
Total energy (eV per atom): -5.11
V (Å³ per cell): 380.82
Space group: C2/m, No. 12

=====

Computed, not measured: an optimized crystal structure of UTlP2S8 at the GGA-PBE level of DFT.

a = 6.1582 Å, b = 6.1582 Å, c = 10.1042 Å
α = 72.26°, β = 72.26°, γ = 60.00°
Last column: nearest neighbours and their distance in Å.
Fractional positions:
S 0.1845 0.1845 0.4464  1 P 1.96
S 0.5921 0.2921 0.1622  1 P 2.10
S 0.0464 0.4079 0.8378  1 P 2.10
S 0.2921 0.9536 0.1622  1 P 2.10
S 0.8155 0.8155 0.5536  1 P 1.96
S 0.4079 0.7079 0.8378  1 P 2.10
S 0.7079 0.0464 0.8378  1 P 2.10
S 0.9536 0.5921 0.1622  1 P 2.10
P 0.2537 0.2537 0.2388  4 S 1.96-2.10
P 0.7463 0.7463 0.7612  4 S 1.96-2.10
Tl 0.5000 0.5000 0.5000  12 S 3.59-3.79
U 0.0000 0.0000 0.0000  6 S 2.65

Computed properties:
Total energy (eV per atom): -5.24
V (Å³ per cell): 310.62
Space group: R-3, No. 148

=====

Computed, not measured: an optimized crystal structure of TlVP2S at the GGA-PBE level of DFT.

a = 5.0212 Å, b = 5.0212 Å, c = 5.1321 Å
α = 90.00°, β = 90.00°, γ = 90.00°
Last column: nearest neighbours and their distance in Å.
Fractional positions:
V 0.5000 0.5000 0.5000  4 S 3.55, 8 P 3.59
Tl 0.0000 0.0000 0.0000  4 P 2.51, 2 S 2.57
P 0.0000 0.5000 0.0000  2 Tl 2.51
P 0.5000 0.0000 0.0000  2 Tl 2.51
S 0.0000 0.0000 0.5000  2 Tl 2.57

Computed properties:
Excess energy over the best structure of this formula in the dataset (meV/atom): 1422
Total energy (eV per atom): -3.81
V (Å³ per cell): 129.39
Space group: P4/mmm, No. 123

=====

Which value of total energy does entry 6 give? -3.81 eV per atom